1.
{
  "formula": "KSbBr2",
  "functional": "GGA-PBE",
  "state": "optimized geometry",
  "cell": [[1.895, 1.094, 10.840], [-1.895, 1.094, 10.840], [0.000, -2.188, 10.840]],
  "species": ["K", "Sb", "Br", "Br"],
  "fractional_positions": [[0.000, 0.000, 0.000], [0.500, 0.500, 0.500], [0.092, 0.092, 0.092], [0.908, 0.908, 0.908]],
  "energy_ev_per_cell": -9.76,
  "formation_energy_uncorrected_ev_per_atom": -0.2980,
  "crystal_system": "trigonal",
  "polymorph_energy_kj_per_mol_atoms": 46.09
}

---

2.
{
  "formula": "Ac2In2Ag15",
  "functional": "GGA-PBE",
  "state": "optimized geometry",
  "cell": [[4.931, 2.847, 4.824], [-4.931, 2.847, 4.824], [0.000, -5.694, 4.824]],
  "species": ["Ac", "Ac", "In", "In", "Ag", "Ag", "Ag", "Ag", "Ag", "Ag", "Ag", "Ag", "Ag", "Ag", "Ag", "Ag", "Ag", "Ag", "Ag"],
  "fractional_positions": [[0.152, 0.152, 0.152], [0.848, 0.848, 0.848], [0.398, 0.398, 0.398], [0.602, 0.602, 0.602], [0.000, 0.500, 0.500], [0.150, 0.150, 0.656], [0.150, 0.656, 0.150], [0.197, 0.500, 0.803], [0.197, 0.803, 0.500], [0.344, 0.850, 0.850], [0.500, 0.000, 0.500], [0.500, 0.197, 0.803], [0.500, 0.500, 0.000], [0.500, 0.803, 0.197], [0.656, 0.150, 0.150], [0.803, 0.197, 0.500], [0.803, 0.500, 0.197], [0.850, 0.344, 0.850], [0.850, 0.850, 0.344]],
  "energy_ev_per_cell": -58.75,
  "ef_ev_per_atom": -0.121,
  "crystal_system": "trigonal"
}

---

3.
{
  "formula": "InTcS2",
  "functional": "GGA-PBE",
  "state": "optimized geometry",
  "cell": [[-3.337, 3.337, 4.435], [3.337, -3.337, 4.435], [3.337, 3.337, -4.435]],
  "species": ["In", "In", "Tc", "Tc", "S", "S", "S", "S"],
  "fractional_positions": [[0.000, 0.000, 0.000], [0.750, 0.250, 0.500], [0.250, 0.750, 0.500], [0.500, 0.500, 0.000], [0.222, 0.625, 0.097], [0.375, 0.472, 0.597], [0.528, 0.125, 0.903], [0.875, 0.778, 0.403]],
  "energy_ev_per_cell": -43.93,
  "formation_energy_uncorrected_ev_per_atom": -0.1515,
  "crystal_system": "tetragonal"
}

---

4.
{
  "formula": "CaPmMgGa",
  "functional": "GGA-PBE",
  "state": "optimized geometry",
  "cell": [[0.000, 3.759, 3.759], [3.759, 0.000, 3.759], [3.759, 3.759, 0.000]],
  "species": ["Ca", "Pm", "Mg", "Ga"],
  "fractional_positions": [[0.000, 0.000, 0.000], [0.500, 0.500, 0.500], [0.250, 0.250, 0.250], [0.750, 0.750, 0.750]],
  "energy_ev_per_cell": -12.59,
  "ef_ev_per_atom": -0.305,
  "crystal_system": "cubic"
}

---

Q: Number 1 is which compound?
A: KSbBr2

---

Q: Which formula does entry 1 have?
A: KSbBr2